Entry 1:
Compound: VSn3S
Source: Alexandria via LeMat-Bulk
Functional: PBE-GGA
Structure: relaxed

a = 5.2083 Å, b = 5.2083 Å, c = 5.2083 Å
α = 90.00°, β = 90.00°, γ = 90.00°
Closest atoms and distances in Å follow each position.
Atoms (fractional coordinates):
V: 0.0000 0.0000 0.0000  12 Sn 3.68
Sn: 0.0000 0.5000 0.5000  2 S 2.60
Sn: 0.5000 0.0000 0.5000  2 S 2.60
Sn: 0.5000 0.5000 0.0000  2 S 2.60
S: 0.5000 0.5000 0.5000  6 Sn 2.60

Summary:
- Theoretical density: 5.16 g/cm3
- Energy: -21.67 eV per cell
- Magnetic moment: 3.43 μB per cell

---

Entry 2:
Compound: Sn2WS2
Source: Alexandria via LeMat-Bulk
Functional: PBE-GGA
Structure: relaxed

a = 8.4302 Å, b = 8.4302 Å, c = 8.4302 Å
α = 154.16°, β = 154.16°, γ = 36.86°
Closest atoms and distances in Å follow each position.
Atoms (fractional coordinates):
Sn: 0.2500 0.7500 0.5000  4 Sn 2.67
Sn: 0.7500 0.2500 0.5000  4 Sn 2.67
W: 0.0000 0.0000 0.0000  8 S 2.98
S: 0.4173 0.4173 0.0000  1 S 2.65
S: 0.5827 0.5827 0.0000  1 S 2.65

Summary:
- Theoretical density: 7.09 g/cm3
- Energy: -23.71 eV per cell
- Magnetic moment: 2.25 μB per cell

---

Entry 3:
Compound: Sn2W4S
Source: Alexandria via LeMat-Bulk
Functional: PBE-GGA
Structure: relaxed

a = 7.6244 Å, b = 7.6244 Å, c = 7.6244 Å
α = 146.29°, β = 146.29°, γ = 48.41°
Closest atoms and distances in Å follow each position.
Atoms (fractional coordinates):
Sn: 0.1438 0.1438 0.0000  5 W 2.73-2.98
Sn: 0.8562 0.8562 0.0000  5 W 2.73-2.98
W: 0.0000 0.5000 0.5000  2 S 2.21
W: 0.3399 0.3399 0.0000  1 S 2.23
W: 0.5000 0.0000 0.5000  2 S 2.21
W: 0.6601 0.6601 0.0000  1 S 2.23
S: 0.5000 0.5000 0.0000  6 W 2.21-2.23

Summary:
- Theoretical density: 12.28 g/cm3
- Energy: -57.09 eV per cell
- Magnetic moment: 0.00 μB per cell

---

Entry 4:
Compound: SnW2S
Source: Alexandria via LeMat-Bulk
Functional: PBE-GGA
Structure: relaxed

a = 4.5305 Å, b = 4.5305 Å, c = 4.5305 Å
α = 60.00°, β = 60.00°, γ = 60.00°
Closest atoms and distances in Å follow each position.
Atoms (fractional coordinates):
Sn: 0.0000 0.0000 0.0000  8 W 2.77
W: 0.2500 0.2500 0.2500  4 S 2.77, 4 Sn 2.77
W: 0.7500 0.7500 0.7500  4 S 2.77, 4 Sn 2.77
S: 0.5000 0.5000 0.5000  8 W 2.77

Summary:
- Theoretical density: 13.09 g/cm3
- Energy: -31.04 eV per cell
- Magnetic moment: 0.00 μB per cell

---

Entry 5:
Compound: SnW3S
Source: Alexandria via LeMat-Bulk
Functional: PBE-GGA
Structure: relaxed

a = 4.4684 Å, b = 4.4684 Å, c = 4.4684 Å
α = 90.00°, β = 90.00°, γ = 90.00°
Closest atoms and distances in Å follow each position.
Atoms (fractional coordinates):
Sn: 0.0000 0.0000 0.0000  12 W 3.16
W: 0.0000 0.5000 0.5000  2 S 2.23
W: 0.5000 0.0000 0.5000  2 S 2.23
W: 0.5000 0.5000 0.0000  2 S 2.23
S: 0.5000 0.5000 0.5000  6 W 2.23

Summary:
- Theoretical density: 13.07 g/cm3
- Energy: -42.58 eV per cell
- Magnetic moment: 0.00 μB per cell

---

Entry 6:
Compound: SnW2S
Source: Alexandria via LeMat-Bulk
Functional: PBE-GGA
Structure: relaxed

a = 9.1770 Å, b = 9.1770 Å, c = 9.1770 Å
α = 153.32°, β = 153.32°, γ = 38.10°
Closest atoms and distances in Å follow each position.
Atoms (fractional coordinates):
Sn: 0.0000 0.0000 0.0000  4 W 2.78, 4 S 2.99
Sn: 0.7500 0.2500 0.5000  4 W 2.78, 4 S 2.99
W: 0.2013 0.6250 0.0763  2 S 2.52, 2 W 2.58, 2 Sn 2.78
W: 0.3750 0.4513 0.5763  2 S 2.52, 2 W 2.58, 2 Sn 2.78
W: 0.5487 0.1250 0.9237  2 S 2.52, 2 W 2.58, 2 Sn 2.78
W: 0.8750 0.7987 0.4237  2 S 2.52, 2 W 2.58, 2 Sn 2.78
S: 0.2500 0.7500 0.5000  4 W 2.52
S: 0.5000 0.5000 0.0000  4 W 2.52

Summary:
- Theoretical density: 11.06 g/cm3
- Energy: -62.18 eV per cell
- Magnetic moment: 0.00 μB per cell